(1)
Density functional theory data (PBE) for an optimized crystal structure of LiTbSi2Pd.

The structure belongs to space group I-4m2 (No. 119); the cell edges are 4.007, 4.007 and 10.571 Å and the angles 90.00°, 90.00° and 90.00°. Symmetry generates all atoms from Li at (0.000, 0.000, 0.000), Tb at (0.000, 0.500, 0.250), Si at (0.000, 0.500, 0.640) and Pd at (0.000, 0.000, 0.500).

For the total energy, the calculation gives -5.30 eV per atom. The value obtained for the uncorrected formation energy is -0.781 eV/atom. The total magnetization comes out at 0.000 Bohr magnetons per cell.



(2)
Density functional theory data (PBE) for an optimized crystal structure of Sr2BiPPd.

The structure belongs to space group P4/mmm (No. 123); the cell edges are 5.922, 5.922 and 4.455 Å and the angles 90.00°, 90.00° and 90.00°. Symmetry generates all atoms from Sr at (0.000, 0.500, 0.000), Bi at (0.000, 0.000, 0.500), P at (0.500, 0.500, 0.000) and Pd at (0.500, 0.500, 0.500).

For the total energy, the calculation gives -4.25 eV per atom. Its formation energy is -3.39 eV/f.u. The total magnetization comes out at 0.000 Bohr magnetons per cell.



(3)
Density functional theory data (PBE) for an optimized crystal structure of CeTiRu2.

The structure belongs to space group P4/mmm (No. 123); the cell edges are 3.143, 3.143 and 7.000 Å and the angles 90.00°, 90.00° and 90.00°. Symmetry generates all atoms from Ce at (0.000, 0.000, 0.000), Ti at (0.000, 0.000, 0.500) and Ru at (0.500, 0.500, 0.288).

For the total energy, the calculation gives -8.54 eV per atom. Its formation energy is -1.77 eV/f.u. The total magnetization comes out at 0.000 Bohr magnetons per cell.



Q: The highest total energy belongs to which entry?
A: Sr2BiPPd



Q: Which of these has the lowest total energy?
A: CeTiRu2